The following is a PBE-GGA calculation of crystalline ZnH2Rh at its relaxed geometry, from the Alexandria database.

Raw total energy ... -0.143 Ha/atom
Space-group type ... Imma (74)
Fermi-level density of states ... 0.2856 states/eV per atom
Magnetization ... 0.00 μB/cell

a b c (Å): 4.8979 4.8979 4.8979
angles (deg): 128.71 77.29 126.49
Fractional positions:
Zn 0.3250 0.0750 0.2500
Zn 0.6750 0.9250 0.7500
H 0.1414 0.0000 0.6414
H 0.1414 0.5000 0.1414
H 0.8586 0.0000 0.3586
H 0.8586 0.5000 0.8586
Rh 0.0000 0.5000 0.5000
Rh 0.5000 0.5000 0.0000



The following is a PBE-GGA calculation of crystalline NaZrAl2 at its relaxed geometry, from the Alexandria database.

Distance to the lowest polymorph of the same formula ... 42.1 meV/atom
Space-group type ... Cmm2 (35)
Fermi-level density of states ... 0.5543 states/eV per atom
Magnetization ... 0.00 μB/cell
Formation energy from the elements ... -108 meV/atom

a b c (Å): 8.6435 8.6435 3.1763
angles (deg): 90.00 90.00 130.19
Fractional positions:
Na 0.0000 0.0000 0.0000
Na 0.5000 0.5000 0.4944
Zr 0.2088 0.7912 0.4943
Zr 0.7912 0.2088 0.4943
Al 0.1527 0.4724 0.9942
Al 0.4724 0.1527 0.9942
Al 0.5276 0.8473 0.9942
Al 0.8473 0.5276 0.9942



The following is a PBE-GGA calculation of crystalline La2TbPt at its relaxed geometry, from the Alexandria database.

Distance to the lowest polymorph of the same formula ... 171.7 meV/atom
Space-group type ... R3m (160)
Fermi-level density of states ... 1.4103 states/eV per atom
Magnetization ... 0.00 μB/cell
Formation energy from the elements ... -476 meV/atom

a b c (Å): 9.6904 9.6904 9.6904
angles (deg): 24.04 24.04 24.04
Fractional positions:
La 0.0000 0.0000 0.0000
La 0.2071 0.2071 0.2071
Tb 0.7704 0.7704 0.7704
Pt 0.6039 0.6039 0.6039



The following is a PBE-GGA calculation of crystalline CeErAlTc at its relaxed geometry, from the Alexandria database.

Space-group type ... F-43m (216)
Fermi-level density of states ... 0.7353 states/eV per atom
Magnetization ... 0.00 μB/cell
Formation energy from the elements ... -157 meV/atom

a b c (Å): 4.9748 4.9748 4.9748
angles (deg): 60.00 60.00 60.00
Fractional positions:
Ce 0.0000 0.0000 0.0000
Er 0.5000 0.5000 0.5000
Al 0.2500 0.2500 0.2500
Tc 0.7500 0.7500 0.7500



The following is a PBE-GGA calculation of crystalline Zr2NbZnC at its relaxed geometry, from the Alexandria database.

Space-group type ... P4/mmm (123)
Fermi-level density of states ... 0.6577 states/eV per atom
Magnetization ... 0.00 μB/cell
Formation energy from the elements ... -322 meV/atom

a b c (Å): 4.5521 4.5521 4.2587
angles (deg): 90.00 90.00 90.00
Fractional positions:
Zr 0.0000 0.5000 0.0000
Zr 0.5000 0.0000 0.0000
Nb 0.0000 0.0000 0.5000
Zn 0.5000 0.5000 0.5000
C 0.0000 0.0000 0.0000



The following is a PBE-GGA calculation of crystalline PaPd4Rh at its relaxed geometry, from the Alexandria database.

Distance to the lowest polymorph of the same formula ... 435.7 meV/atom
Space-group type ... P-42c (112)
Fermi-level density of states ... 0.9134 states/eV per atom
Magnetization ... 0.00 μB/cell
Formation energy from the elements ... -141 meV/atom

a b c (Å): 5.0598 5.0598 8.7226
angles (deg): 90.00 90.00 90.00
Fractional positions:
Pa 0.0000 0.5000 0.2500
Pa 0.5000 0.0000 0.7500
Pd 0.0862 0.2548 0.8907
Pd 0.0862 0.7452 0.6093
Pd 0.2548 0.0862 0.3907
Pd 0.2548 0.9138 0.1093
Pd 0.7452 0.0862 0.1093
Pd 0.7452 0.9138 0.3907
Pd 0.9138 0.2548 0.6093
Pd 0.9138 0.7452 0.8907
Rh 0.5000 0.5000 0.0000
Rh 0.5000 0.5000 0.5000



The following is a PBE-GGA calculation of crystalline LaMoSe2 at its relaxed geometry, from the Alexandria database.

Distance to the lowest polymorph of the same formula ... 97.6 meV/atom
Space-group type ... Amm2 (38)
Fermi-level density of states ... 0.8876 states/eV per atom
Formation energy (no corrections) ... -0.779 eV/atom
Magnetization ... 0.00 μB/cell

a b c (Å): 4.7484 5.7147 5.7147
angles (deg): 39.46 90.00 90.00
Fractional positions:
La 0.0000 0.0000 0.0000
Mo 0.5000 0.7810 0.7810
Se 0.0000 0.7190 0.7190
Se 0.5000 0.4341 0.4341



The following is a PBE-GGA calculation of crystalline Cs2Cu2S3 at its relaxed geometry, from the Alexandria database.

Space-group type ... C2/m (12)
Fermi-level density of states ... 1.1834 states/eV per atom
Formation energy (no corrections) ... -0.570 eV/atom
Magnetization ... 0.00 μB/cell

a b c (Å): 6.7596 6.7596 8.6070
angles (deg): 122.51 122.51 34.76
Fractional positions:
Cs 0.0698 0.0698 0.3493
Cs 0.9302 0.9302 0.6507
Cu 0.3024 0.3024 0.9328
Cu 0.6976 0.6976 0.0672
S 0.2952 0.2952 0.2050
S 0.5000 0.5000 0.0000
S 0.7048 0.7048 0.7950